Below is a relaxed Na2Zn3 crystal, with properties calculated at the PBE-GGA level.

Values from the calculation:
ΔH_f (0 K)   -20 meV/atom
Space group   No. 12
D(E_F)   1.69 states/eV per cell
Size of the total moment   0.00 μB/f.u.

Unit cell a=4.4304 b=5.2031 c=5.9227 alpha=116.06 beta=112.46 gamma=90.00
Fractional positions:
Na (0.1982, 0.6968, 0.3937)
Na (0.8018, 0.3032, 0.6063)
Zn (0.5000, 0.2537, 0.0000)
Zn (0.5000, 0.7463, 0.0000)
Zn (0.0000, 0.0000, 0.0000)

=====

Below is a relaxed NaZn crystal, with properties calculated at the PBE-GGA level.

Values from the calculation:
ΔH_f (0 K)   96 meV/atom
Space group   No. 87
D(E_F)   6.62 states/eV per cell
Size of the total moment   0.00 μB/f.u.

Unit cell a=11.0303 b=11.0303 c=3.3115 alpha=90.00 beta=90.00 gamma=90.00
Fractional positions:
Na (0.1830, 0.1244, 0.0000)
Na (0.8170, 0.8756, 0.0000)
Na (0.8756, 0.1830, 0.0000)
Na (0.1244, 0.8170, 0.0000)
Na (0.6830, 0.6244, 0.5000)
Na (0.3170, 0.3756, 0.5000)
Na (0.3756, 0.6830, 0.5000)
Na (0.6244, 0.3170, 0.5000)
Zn (0.3836, 0.9272, 0.0000)
Zn (0.6164, 0.0728, 0.0000)
Zn (0.0728, 0.3836, 0.0000)
Zn (0.9272, 0.6164, 0.0000)
Zn (0.8836, 0.4272, 0.5000)
Zn (0.1164, 0.5728, 0.5000)
Zn (0.5728, 0.8836, 0.5000)
Zn (0.4272, 0.1164, 0.5000)

=====

Below is a relaxed NaZn crystal, with properties calculated at the PBE-GGA level.

Values from the calculation:
ΔH_f (0 K)   412 meV/atom
Space group   No. 194
D(E_F)   2.24 states/eV per cell
Size of the total moment   0.00 μB/f.u.

Unit cell a=5.2105 b=5.2105 c=6.0278 alpha=90.00 beta=90.00 gamma=120.00
Fractional positions:
Na (0.3333, 0.6667, 0.2500)
Na (0.6667, 0.3333, 0.7500)
Zn (0.3333, 0.6667, 0.7500)
Zn (0.6667, 0.3333, 0.2500)

=====

Below is a relaxed Na6Zn crystal, with properties calculated at the PBE-GGA level.

Values from the calculation:
ΔH_f (0 K)   445 meV/atom
Space group   No. 229
D(E_F)   3.81 states/eV per cell
Size of the total moment   0.00 μB/f.u.

Unit cell a=7.9107 b=7.9107 c=7.9107 alpha=109.47 beta=109.47 gamma=109.47
Fractional positions:
Na (0.2500, 0.7500, 0.5000)
Na (0.5000, 0.7500, 0.2500)
Na (0.2500, 0.5000, 0.7500)
Na (0.7500, 0.2500, 0.5000)
Na (0.5000, 0.2500, 0.7500)
Na (0.7500, 0.5000, 0.2500)
Zn (0.0000, 0.0000, 0.0000)

=====

Below is a relaxed NaZn4 crystal, with properties calculated at the PBE-GGA level.

Values from the calculation:
ΔH_f (0 K)   732 meV/atom
ΔE to the lowest computed polymorph   694 meV/atom
Space group   No. 221
D(E_F)   3.09 states/eV per cell
Size of the total moment   0.00 μB/f.u.

Unit cell a=5.4726 b=5.4726 c=5.4726 alpha=90.00 beta=90.00 gamma=90.00
Fractional positions:
Na (0.5000, 0.5000, 0.5000)
Zn (0.0000, 0.0000, 0.0000)
Zn (0.5000, 0.0000, 0.5000)
Zn (0.0000, 0.5000, 0.5000)
Zn (0.5000, 0.5000, 0.0000)

=====

Below is a relaxed NaZn crystal, with properties calculated at the PBE-GGA level.

Values from the calculation:
ΔH_f (0 K)   121 meV/atom
Space group   No. 194
D(E_F)   1.89 states/eV per cell
Size of the total moment   0.00 μB/f.u.

Unit cell a=4.7475 b=5.2536 c=5.2538 alpha=120.00 beta=90.00 gamma=90.00
Fractional positions:
Na (0.7500, 0.3333, 0.6667)
Na (0.2500, 0.6667, 0.3333)
Zn (0.7500, 0.0000, 0.0000)
Zn (0.2500, 0.0000, 0.0000)

=====

Below is a relaxed NaZn13 crystal, with properties calculated at the PBE-GGA level.

Values from the calculation:
ΔH_f (0 K)   -41 meV/atom
Space group   No. 226
D(E_F)   6.18 states/eV per cell
Size of the total moment   0.00 μB/f.u.

Unit cell a=8.6698 b=8.6698 c=8.6698 alpha=60.00 beta=60.00 gamma=60.00
Fractional positions:
Na (0.2500, 0.2500, 0.2500)
Na (0.7500, 0.7500, 0.7500)
Zn (0.4391, 0.1995, 0.8005)
Zn (0.9391, 0.6995, 0.0609)
Zn (0.6995, 0.9391, 0.3005)
Zn (0.3005, 0.6995, 0.9391)
Zn (0.9391, 0.0609, 0.3005)
Zn (0.6995, 0.0609, 0.9391)
Zn (0.3005, 0.9391, 0.0609)
Zn (0.8005, 0.4391, 0.1995)
Zn (0.1995, 0.8005, 0.4391)
Zn (0.4391, 0.5609, 0.1995)
Zn (0.4391, 0.8005, 0.5609)
Zn (0.1995, 0.5609, 0.8005)
Zn (0.5609, 0.4391, 0.8005)
Zn (0.5609, 0.1995, 0.4391)
Zn (0.8005, 0.1995, 0.5609)
Zn (0.0609, 0.9391, 0.6995)
Zn (0.0609, 0.3005, 0.9391)
Zn (0.9391, 0.3005, 0.6995)
Zn (0.0609, 0.6995, 0.3005)
Zn (0.3005, 0.0609, 0.6995)
Zn (0.6995, 0.3005, 0.0609)
Zn (0.1995, 0.4391, 0.5609)
Zn (0.8005, 0.5609, 0.4391)
Zn (0.5609, 0.8005, 0.1995)
Zn (0.0000, 0.0000, 0.0000)
Zn (0.5000, 0.5000, 0.5000)

=====

Below is a relaxed NaZn crystal, with properties calculated at the PBE-GGA level.

Values from the calculation:
ΔH_f (0 K)   297 meV/atom
Space group   No. 225
D(E_F)   6.43 states/eV per cell
Size of the total moment   0.00 μB/f.u.

Unit cell a=6.0745 b=6.0745 c=6.0745 alpha=90.00 beta=90.00 gamma=90.00
Fractional positions:
Na (0.0000, 0.0000, 0.0000)
Na (0.0000, 0.5000, 0.5000)
Na (0.5000, 0.0000, 0.5000)
Na (0.5000, 0.5000, 0.0000)
Zn (0.5000, 0.5000, 0.5000)
Zn (0.5000, 0.0000, 0.0000)
Zn (0.0000, 0.5000, 0.0000)
Zn (0.0000, 0.0000, 0.5000)

=====

Below is a relaxed NaZn crystal, with properties calculated at the PBE-GGA level.

Values from the calculation:
ΔH_f (0 K)   75 meV/atom
Space group   No. 70
D(E_F)   14.09 states/eV per cell
Size of the total moment   0.00 μB/f.u.

Unit cell a=5.5248 b=15.3242 c=8.7154 alpha=90.00 beta=90.00 gamma=90.00
Fractional positions:
Na (0.0000, 0.0000, 0.6671)
Na (0.0000, 0.0000, 0.3329)
Na (0.2500, 0.7500, 0.5829)
Na (0.2500, 0.7500, 0.9171)
Na (0.0000, 0.5000, 0.1671)
Na (0.0000, 0.5000, 0.8329)
Na (0.2500, 0.2500, 0.0829)
Na (0.2500, 0.2500, 0.4171)
Na (0.5000, 0.0000, 0.1671)
Na (0.5000, 0.0000, 0.8329)
Na (0.7500, 0.7500, 0.0829)
Na (0.7500, 0.7500, 0.4171)
Na (0.5000, 0.5000, 0.6671)
Na (0.5000, 0.5000, 0.3329)
Na (0.7500, 0.2500, 0.5829)
Na (0.7500, 0.2500, 0.9171)
Zn (0.0000, 0.0839, 0.0000)
Zn (0.0000, 0.9161, 0.0000)
Zn (0.2500, 0.6661, 0.2500)
Zn (0.2500, 0.8339, 0.2500)
Zn (0.0000, 0.5839, 0.5000)
Zn (0.0000, 0.4161, 0.5000)
Zn (0.2500, 0.1661, 0.7500)
Zn (0.2500, 0.3339, 0.7500)
Zn (0.5000, 0.0839, 0.5000)
Zn (0.5000, 0.9161, 0.5000)
Zn (0.7500, 0.6661, 0.7500)
Zn (0.7500, 0.8339, 0.7500)
Zn (0.5000, 0.5839, 0.0000)
Zn (0.5000, 0.4161, 0.0000)
Zn (0.7500, 0.1661, 0.2500)
Zn (0.7500, 0.3339, 0.2500)

=====

Below is a relaxed NaZn11 crystal, with properties calculated at the PBE-GGA level.

Values from the calculation:
ΔH_f (0 K)   -50 meV/atom
Space group   No. 141
D(E_F)   3.63 states/eV per cell
Size of the total moment   0.00 μB/f.u.

Unit cell a=6.8930 b=8.3109 c=8.3109 alpha=80.10 beta=65.50 gamma=65.50
Fractional positions:
Na (0.5000, 0.0000, 0.0000)
Na (0.2500, 0.5000, 0.5000)
Zn (0.4329, 0.8293, 0.4139)
Zn (0.6761, 0.1707, 0.5861)
Zn (0.0000, 0.0000, 0.0000)
Zn (0.7500, 0.5000, 0.5000)
Zn (0.3750, 0.7500, 0.7500)
Zn (0.8750, 0.7500, 0.2500)
Zn (0.8750, 0.2500, 0.7500)
Zn (0.8750, 0.2500, 0.2500)
Zn (0.4329, 0.4139, 0.8293)
Zn (0.0122, 0.6707, 0.9139)
Zn (0.5968, 0.3293, 0.0861)
Zn (0.6761, 0.5861, 0.1707)
Zn (0.7378, 0.5861, 0.8293)
Zn (0.1532, 0.4139, 0.1707)
Zn (0.0739, 0.3293, 0.9139)
Zn (0.3171, 0.6707, 0.0861)
Zn (0.3171, 0.0861, 0.6707)
Zn (0.7378, 0.8293, 0.5861)
Zn (0.1532, 0.1707, 0.4139)
Zn (0.0739, 0.9139, 0.3293)
Zn (0.0122, 0.9139, 0.6707)
Zn (0.5968, 0.0861, 0.3293)

=====

Below is a relaxed NaZn4 crystal, with properties calculated at the PBE-GGA level.

Values from the calculation:
ΔH_f (0 K)   39 meV/atom
ΔE to the lowest computed polymorph   0 meV/atom
Space group   No. 139
D(E_F)   1.57 states/eV per cell
Size of the total moment   0.00 μB/f.u.

Unit cell a=4.6199 b=4.9669 c=4.9669 alpha=77.51 beta=62.29 gamma=62.29
Fractional positions:
Na (0.0000, 0.0000, 0.0000)
Zn (0.5000, 0.2997, 0.7003)
Zn (0.7997, 0.7003, 0.7003)
Zn (0.5000, 0.7003, 0.2997)
Zn (0.2003, 0.2997, 0.2997)

=====

Below is a relaxed Na3Zn2 crystal, with properties calculated at the PBE-GGA level.

Values from the calculation:
ΔH_f (0 K)   115 meV/atom
Space group   No. 167
D(E_F)   4.12 states/eV per cell
Size of the total moment   0.00 μB/f.u.

Unit cell a=6.6380 b=6.6380 c=8.1843 alpha=66.08 beta=66.08 gamma=60.00
Fractional positions:
Na (0.2055, 0.7500, 0.7500)
Na (0.7500, 0.2945, 0.7500)
Na (0.2945, 0.2055, 0.7500)
Na (0.2500, 0.7055, 0.2500)
Na (0.7055, 0.7945, 0.2500)
Na (0.7945, 0.2500, 0.2500)
Zn (0.8076, 0.8076, 0.5773)
Zn (0.3076, 0.3076, 0.0773)
Zn (0.1924, 0.1924, 0.4227)
Zn (0.6924, 0.6924, 0.9227)

=====

Below is a relaxed NaZrZn2 crystal, with properties calculated at the PBE-GGA level.

Values from the calculation:
ΔH_f (0 K)   -36 meV/atom
ΔE to the lowest computed polymorph   0 meV/atom
Space group   No. 123
D(E_F)   1.96 states/eV per cell
Size of the total moment   0.00 μB/f.u.

Unit cell a=3.1039 b=3.1039 c=8.4521 alpha=90.00 beta=90.00 gamma=90.00
Fractional positions:
Na (0.5000, 0.5000, 0.0000)
Zn (0.0000, 0.0000, 0.7253)
Zn (0.0000, 0.0000, 0.2747)
Zr (0.5000, 0.5000, 0.5000)

=====

Below is a relaxed NaZrZn2 crystal, with properties calculated at the PBE-GGA level.

Values from the calculation:
ΔH_f (0 K)   -2 meV/atom
ΔE to the lowest computed polymorph   34 meV/atom
Space group   No. 123
D(E_F)   2.15 states/eV per cell
Size of the total moment   0.00 μB/f.u.

Unit cell a=3.2404 b=4.9112 c=4.9112 alpha=90.00 beta=90.00 gamma=90.00
Fractional positions:
Na (0.5000, 0.0000, 0.0000)
Zn (0.0000, 0.0000, 0.5000)
Zn (0.0000, 0.5000, 0.0000)
Zr (0.5000, 0.5000, 0.5000)

=====

Below is a relaxed NaZrZn crystal, with properties calculated at the PBE-GGA level.

Values from the calculation:
ΔH_f (0 K)   135 meV/atom
ΔE to the lowest computed polymorph   93 meV/atom
Space group   No. 8
D(E_F)   11.27 states/eV per cell
Size of the total moment   0.00 μB/f.u.

Unit cell a=8.6748 b=3.1359 c=10.7480 alpha=90.00 beta=110.67 gamma=90.00
Fractional positions:
Na (0.4683, 0.0000, 0.9862)
Na (0.4683, 0.5000, 0.4862)
Na (0.2991, 0.0000, 0.6777)
Na (0.2991, 0.5000, 0.1777)
Zr (0.9200, 0.0000, 0.0338)
Zr (0.9200, 0.5000, 0.5338)
Zr (0.0326, 0.0000, 0.3412)
Zr (0.0326, 0.5000, 0.8412)
Zn (0.7557, 0.0000, 0.6818)
Zn (0.7557, 0.5000, 0.1818)
Zn (0.6697, 0.0000, 0.3397)
Zn (0.6697, 0.5000, 0.8397)

=====

Below is a relaxed NaZrZn crystal, with properties calculated at the PBE-GGA level.

Values from the calculation:
ΔH_f (0 K)   132 meV/atom
ΔE to the lowest computed polymorph   90 meV/atom
Space group   No. 8
D(E_F)   8.82 states/eV per cell
Size of the total moment   0.00 μB/f.u.

Unit cell a=15.5779 b=3.2775 c=5.5861 alpha=90.00 beta=96.63 gamma=90.00
Fractional positions:
Na (0.2957, 0.0000, 0.7502)
Na (0.2957, 0.5000, 0.2502)
Na (0.5079, 0.0000, 0.1524)
Na (0.5079, 0.5000, 0.6524)
Zr (0.7042, 0.0000, 0.8780)
Zr (0.7042, 0.5000, 0.3780)
Zr (0.8615, 0.0000, 0.5894)
Zr (0.8615, 0.5000, 0.0894)
Zn (0.0104, 0.0000, 0.9808)
Zn (0.0104, 0.5000, 0.4808)
Zn (0.1333, 0.0000, 0.3574)
Zn (0.1333, 0.5000, 0.8574)

=====

Below is a relaxed NaZr2Zn crystal, with properties calculated at the PBE-GGA level.

Values from the calculation:
ΔH_f (0 K)   569 meV/atom
Space group   No. 122
D(E_F)   8.99 states/eV per cell
Size of the total moment   0.00 μB/f.u.

Unit cell a=4.0964 b=4.0964 c=11.4299 alpha=79.68 beta=79.68 gamma=90.00
Fractional positions:
Na (0.5000, 0.5000, 0.0000)
Na (0.2500, 0.7500, 0.5000)
Zn (0.0000, 0.0000, 0.0000)
Zn (0.7500, 0.2500, 0.5000)
Zr (0.6411, 0.1250, 0.2500)
Zr (0.1089, 0.6250, 0.2500)
Zr (0.3750, 0.3589, 0.7500)
Zr (0.8750, 0.8911, 0.7500)

=====

Below is a relaxed NaZrZn crystal, with properties calculated at the PBE-GGA level.

Values from the calculation:
ΔH_f (0 K)   142 meV/atom
ΔE to the lowest computed polymorph   100 meV/atom
Space group   No. 107
D(E_F)   5.66 states/eV per cell
Size of the total moment   0.00 μB/f.u.

Unit cell a=3.0919 b=3.0919 c=14.2252 alpha=90.00 beta=90.00 gamma=90.00
Fractional positions:
Na (0.0000, 0.0000, 0.6534)
Na (0.5000, 0.5000, 0.1534)
Zr (0.0000, 0.0000, 0.3613)
Zr (0.5000, 0.5000, 0.8613)
Zn (0.0000, 0.0000, 0.9881)
Zn (0.5000, 0.5000, 0.4881)

=====

Below is a relaxed NaZrZn17 crystal, with properties calculated at the PBE-GGA level.

Values from the calculation:
ΔH_f (0 K)   -82 meV/atom
Space group   No. 160
D(E_F)   5.53 states/eV per cell
Size of the total moment   0.00 μB/f.u.

Unit cell a=6.7509 b=6.7509 c=6.7509 alpha=82.46 beta=82.46 gamma=82.46
Fractional positions:
Na (0.6602, 0.6602, 0.6602)
Zr (0.3315, 0.3315, 0.3315)
Zn (0.3017, 0.0000, 0.6978)
Zn (0.6978, 0.3017, 0.0000)
Zn (0.0000, 0.6978, 0.3017)
Zn (0.3017, 0.6978, 0.0000)
Zn (0.0000, 0.3017, 0.6978)
Zn (0.6978, 0.0000, 0.3017)
Zn (0.3492, 0.8483, 0.3492)
Zn (0.3492, 0.3492, 0.8483)
Zn (0.8483, 0.3492, 0.3492)
Zn (0.6415, 0.1742, 0.6415)
Zn (0.6415, 0.6415, 0.1742)
Zn (0.1742, 0.6415, 0.6415)
Zn (0.9984, 0.5033, 0.9984)
Zn (0.9984, 0.9984, 0.5033)
Zn (0.5033, 0.9984, 0.9984)
Zn (0.9021, 0.9021, 0.9021)
Zn (0.1033, 0.1033, 0.1033)

=====

Below is a relaxed NaZrZn crystal, with properties calculated at the PBE-GGA level.

Values from the calculation:
ΔH_f (0 K)   115 meV/atom
ΔE to the lowest computed polymorph   73 meV/atom
Space group   No. 38
D(E_F)   10.15 states/eV per cell
Size of the total moment   0.00 μB/f.u.

Unit cell a=4.2624 b=3.1870 c=20.5159 alpha=90.00 beta=90.00 gamma=90.00
Fractional positions:
Na (0.5000, 0.0000, 0.6013)
Na (0.5000, 0.5000, 0.1013)
Na (0.0000, 0.0000, 0.2107)
Na (0.0000, 0.5000, 0.7107)
Zr (0.0000, 0.0000, 0.4036)
Zr (0.0000, 0.5000, 0.9036)
Zr (0.5000, 0.0000, 0.8230)
Zr (0.5000, 0.5000, 0.3230)
Zn (0.0000, 0.0000, 0.0303)
Zn (0.0000, 0.5000, 0.5303)
Zn (0.5000, 0.0000, 0.9625)
Zn (0.5000, 0.5000, 0.4625)